Computed, not measured: ScIr2Pt at its PBEsol-relaxed geometry at the meta-GGA SCAN level of DFT.

Geometry as CIF:
```
data_ScIr2Pt
_chemical_formula_sum 'Sc3 Ir6 Pt3'
_cell_length_a 2.7973
_cell_length_b 2.7973
_cell_length_c 27.0178
_cell_angle_alpha 90.00
_cell_angle_beta 90.00
_cell_angle_gamma 120.00
_symmetry_space_group_name_H-M 'R 3 m'
_symmetry_Int_Tables_number 160
_symmetry_space_group_name_Hall 'R 3 -2"'
loop_
_atom_site_label
_atom_site_fract_x
_atom_site_fract_y
_atom_site_fract_z
Sc1 0.0000 0.0000 0.0000
Ir1 0.0000 0.0000 0.4982
Ir2 0.0000 0.0000 0.7515
Pt1 0.0000 0.0000 0.2498
```

Results
Mass density = 17.0 g/cm³
DFT formation energy = -0.18 eV per atom

---

Computed, not measured: Sc2IrPtSe at its PBEsol-relaxed geometry at the meta-GGA SCAN level of DFT.

Geometry as CIF:
```
data_Sc2IrPtSe
_chemical_formula_sum 'Sc2 Ir1 Pt1 Se1'
_cell_length_a 4.7941
_cell_length_b 4.7941
_cell_length_c 4.5052
_cell_angle_alpha 90.00
_cell_angle_beta 90.00
_cell_angle_gamma 90.00
_symmetry_space_group_name_H-M 'P 4/m m m'
_symmetry_Int_Tables_number 123
_symmetry_space_group_name_Hall '-P 4 2'
loop_
_atom_site_label
_atom_site_fract_x
_atom_site_fract_y
_atom_site_fract_z
Sc1 0.0000 0.5000 0.0000
Ir1 0.0000 0.0000 0.5000
Pt1 0.5000 0.5000 0.5000
Se1 0.5000 0.5000 0.0000
```

Results
Mass density = 8.9 g/cm³
Raw formation energy = 0.0098 eV per atom

---

Asked for total energy across the records above, the calculation gives -227.4, -189.8 eV/f.u. in order.